Entry from Alexandria via LeMat-Bulk: crystalline Nd4Hg3Bi at its relaxed geometry (PBE-GGA).

Structure (CIF):
```
data_Nd4Hg3Bi
_symmetry_space_group_name_H-M 'P 4/m m m'
_symmetry_Int_Tables_number 123
_symmetry_space_group_name_Hall '-P 4 2'
_cell_length_a 5.479
_cell_length_b 5.479
_cell_length_c 7.707
_cell_angle_alpha 90.00
_cell_angle_beta 90.00
_cell_angle_gamma 90.00
loop_
_atom_site_label
_atom_site_type_symbol
_atom_site_fract_x
_atom_site_fract_y
_atom_site_fract_z
Nd1 Nd 0.000 0.500 0.245
Hg1 Hg 0.000 0.000 0.000
Hg2 Hg 0.000 0.000 0.500
Hg3 Hg 0.500 0.500 0.000
Bi1 Bi 0.500 0.500 0.500
```

DFT total energy, eV per atom: -3.526
Calculated formation energy, eV/atom: -0.544